No. 1
VASP calculation (PBE) on an optimized crystal structure of Co2HgCl.

Results
The value obtained for the magnetization is 3.589 μB per cell. The value obtained for the energy relative to the lowest polymorph listed for this composition is 223 meV per atom. Its space-group type is R-3m (166).

a b c (Å): 7.956 7.956 7.956
angles (deg): 22.08 22.08 22.08
Atoms (fractional coordinates):
Co: 0.008 0.008 0.008
Co: 0.492 0.492 0.492
Hg: 0.250 0.250 0.250
Cl: 0.750 0.750 0.750



No. 2
VASP calculation (PBE) on an optimized crystal structure of CoHgCl2.

Results
The value obtained for the magnetization is 1.259 μB per cell. The value obtained for the energy relative to the lowest polymorph listed for this composition is 300 meV per atom. Its space-group type is Imm2 (44).

a b c (Å): 5.926 5.926 5.926
angles (deg): 147.47 105.45 83.72
Atoms (fractional coordinates):
Co: 0.507 0.507 0.000
Hg: 0.278 0.778 0.500
Cl: 0.046 0.046 0.000
Cl: 0.669 0.169 0.500



no.,formation energy without anion corrections (eV/atom)
1,0.4500
2,-0.0954